Entry from Alexandria: a relaxed MgTiSn crystal (PBE-GGA).

Symmetry: No. 69
E_form: 0.0476 eV per atom
V: 65.1 Å³/f.u.

a = 4.7425 Å, b = 5.5523 Å, c = 5.9627 Å
α = 80.22°, β = 66.57°, γ = 64.72°
Positions (direct):
Mg1 0.1550 0.6900 0.0000
Mg2 0.8450 0.3100 0.0000
Sn1 0.6458 0.0000 0.7083
Sn2 0.3542 0.0000 0.2917
Ti1 0.7500 0.5000 0.5000
Ti2 0.2500 0.5000 0.5000